This record from Alexandria via LeMat-Bulk describes ZnNiMo2O8 after structural relaxation. The functional is PBE+U.

Unit cell a=6.0671 b=6.0671 c=6.0671 alpha=117.67 beta=117.67 gamma=94.08
Each line ends with the local moment (μB).
Atoms (fractional coordinates):
1 Ni 0.0000 0.0000 0.0000  1.72
2 O 0.3752 0.6087 0.2336  0.00
3 O 0.3752 0.1416 0.7664  0.00
4 O 0.3899 0.1235 0.2664  0.06
5 O 0.8765 0.6101 0.7336  0.06
6 O 0.3913 0.6248 0.7664  0.00
7 O 0.8571 0.1235 0.7336  0.06
8 Mo 0.7500 0.2500 0.5000  -0.01
9 Mo 0.5000 0.5000 0.0000  0.00
10 O 0.8765 0.1429 0.2664  0.06
11 Zn 0.2500 0.7500 0.5000  0.00
12 O 0.8584 0.6248 0.2336  0.00

Output
**Final energy**: -6.09 eV/atom